Density functional theory data (PBE) for an optimized crystal structure of TmAl2Pd3.

## Properties
DFT total energy in eV/cell: -66.44
Calculated volume in Å³/atom: 17.0
M_tot in μB/f.u.: 0.01
Calculated density in g/cm³: 8.81

Cell lengths 4.338, 4.338, 12.535 Å; angles 90.00, 90.00, 120.00 degrees
Atoms (fractional coordinates):
Tm1 0.000 0.000 0.250
Tm2 0.000 0.000 0.750
Al1 0.333 0.667 0.076
Al2 0.333 0.667 0.424
Al3 0.667 0.333 0.576
Al4 0.667 0.333 0.924
Pd1 0.000 0.000 0.000
Pd2 0.000 0.000 0.500
Pd3 0.333 0.667 0.629
Pd4 0.333 0.667 0.871
Pd5 0.667 0.333 0.129
Pd6 0.667 0.333 0.371

---

Density functional theory data (PBE) for an optimized crystal structure of YTm2In3Ir2.

## Properties
DFT total energy in eV/cell: -46.58
Calculated volume in Å³/atom: 22.6
M_tot in μB/f.u.: 0.01
Calculated density in g/cm³: 10.61

Cell lengths 3.629, 7.591, 7.591 Å; angles 120.13, 90.00, 90.00 degrees
Atoms (fractional coordinates):
Y1 0.000 0.000 0.000
Tm1 0.000 0.157 0.579
Tm2 0.000 0.579 0.157
In1 0.500 0.345 0.345
In2 0.500 0.578 0.814
In3 0.500 0.814 0.578
Ir1 0.500 0.250 0.911
Ir2 0.500 0.911 0.250

---

Density functional theory data (PBE) for an optimized crystal structure of CdSiB.

## Properties
DFT total energy in eV/cell: -8.82
Polymorph energy (0 for the lowest one) in meV/atom: 477
Calculated volume in Å³/atom: 17.6
Calculated density in g/cm³: 4.75

Cell lengths 4.213, 4.213, 4.213 Å; angles 60.00, 60.00, 60.00 degrees
Atoms (fractional coordinates):
Cd1 0.000 0.000 0.000
Si1 0.250 0.250 0.250
B1 0.750 0.750 0.750